# K2LiAgF6, relaxed, DFT PBE-GGA
# Distance to the lowest polymorph of the same formula: 33 meV/atom
data_K2LiAgF6
_symmetry_space_group_name_H-M 'P 1'
_symmetry_Int_Tables_number 1
_symmetry_space_group_name_Hall 'P 1'
_cell_length_a 10.149
_cell_length_b 10.149
_cell_length_c 10.149
_cell_angle_alpha 32.32
_cell_angle_beta 32.32
_cell_angle_gamma 32.32
loop_
_atom_site_label
_atom_site_fract_x
_atom_site_fract_y
_atom_site_fract_z
F1 0.786 0.786 0.302
Ag1 0.500 0.500 0.500
K1 0.288 0.288 0.288
F2 0.376 0.881 0.376
F3 0.376 0.376 0.881
F4 0.214 0.698 0.214
F5 0.786 0.302 0.786
Li1 0.590 0.590 0.590
Li2 0.410 0.410 0.410
K2 0.125 0.125 0.125
F6 0.302 0.786 0.786
F7 0.214 0.214 0.698
K3 0.875 0.875 0.875
F8 0.881 0.376 0.376
F9 0.119 0.624 0.624
F10 0.624 0.119 0.624
Ag2 0.000 0.000 0.000
F11 0.624 0.624 0.119
K4 0.712 0.712 0.712
F12 0.698 0.214 0.214

# K2LiAgF6, relaxed, DFT PBE-GGA
# Distance to the lowest polymorph of the same formula: 2 meV/atom
data_K2LiAgF6
_symmetry_space_group_name_H-M 'P 1'
_symmetry_Int_Tables_number 1
_symmetry_space_group_name_Hall 'P 1'
_cell_length_a 5.701
_cell_length_b 5.705
_cell_length_c 8.077
_cell_angle_alpha 90.02
_cell_angle_beta 90.00
_cell_angle_gamma 90.04
loop_
_atom_site_label
_atom_site_fract_x
_atom_site_fract_y
_atom_site_fract_z
F1 0.451 0.550 0.243
K1 0.450 0.050 0.750
F2 0.695 0.311 0.000
Li1 0.950 0.050 0.500
Ag1 0.950 0.050 0.000
F3 0.197 0.812 0.500
F4 0.187 0.296 0.499
F5 0.206 0.790 0.000
K2 0.450 0.050 0.250
F6 0.703 0.287 0.500
F7 0.713 0.803 0.501
K3 0.950 0.550 0.750
F8 0.951 0.050 0.742
K4 0.950 0.550 0.250
F9 0.211 0.306 0.001
F10 0.689 0.795 0.999
Ag2 0.450 0.550 0.500
Li2 0.450 0.550 0.000
F11 0.949 0.050 0.258
F12 0.449 0.549 0.757

# K2LiAgF6, relaxed, DFT PBE-GGA
# Distance to the lowest polymorph of the same formula: 9 meV/atom
data_K2LiAgF6
_symmetry_space_group_name_H-M 'P 1'
_symmetry_Int_Tables_number 1
_symmetry_space_group_name_Hall 'P 1'
_cell_length_a 5.683
_cell_length_b 5.683
_cell_length_c 5.683
_cell_angle_alpha 119.99
_cell_angle_beta 119.99
_cell_angle_gamma 90.03
loop_
_atom_site_label
_atom_site_fract_x
_atom_site_fract_y
_atom_site_fract_z
Ag1 0.500 0.500 0.000
F1 0.758 0.758 0.517
F2 0.758 0.758 0.000
F3 0.758 0.242 0.000
F4 0.242 0.758 0.000
K1 0.250 0.750 0.500
F5 0.242 0.242 0.483
K2 0.750 0.250 0.500
F6 0.242 0.242 0.000
Li1 0.000 0.000 0.000

# K2LiAgF6, relaxed, DFT PBE-GGA
# Distance to the lowest polymorph of the same formula: 0 meV/atom
data_K2LiAgF6
_symmetry_space_group_name_H-M 'P 1'
_symmetry_Int_Tables_number 1
_symmetry_space_group_name_Hall 'P 1'
_cell_length_a 5.795
_cell_length_b 5.795
_cell_length_c 5.795
_cell_angle_alpha 122.83
_cell_angle_beta 122.83
_cell_angle_gamma 85.16
loop_
_atom_site_label
_atom_site_fract_x
_atom_site_fract_y
_atom_site_fract_z
F1 0.715 0.214 0.929
K1 0.250 0.750 0.500
K2 0.750 0.250 0.500
Li1 0.500 0.500 0.000
Ag1 0.000 0.000 0.000
F2 0.786 0.715 0.500
F3 0.724 0.724 0.000
F4 0.214 0.285 0.500
F5 0.276 0.276 0.000
F6 0.285 0.786 0.071

# K2LiAgF6, relaxed, DFT PBE-GGA
# Distance to the lowest polymorph of the same formula: 6 meV/atom
data_K2LiAgF6
_symmetry_space_group_name_H-M 'P 1'
_symmetry_Int_Tables_number 1
_symmetry_space_group_name_Hall 'P 1'
_cell_length_a 5.697
_cell_length_b 5.725
_cell_length_c 9.810
_cell_angle_alpha 90.00
_cell_angle_beta 125.46
_cell_angle_gamma 90.00
loop_
_atom_site_label
_atom_site_fract_x
_atom_site_fract_y
_atom_site_fract_z
F1 0.256 0.000 0.744
K1 0.251 0.502 0.751
F2 0.228 0.751 0.494
Ag1 0.500 0.500 0.500
F3 0.772 0.249 0.506
F4 0.744 0.500 0.756
F5 0.243 0.268 0.995
F6 0.256 0.500 0.244
Li1 0.000 0.500 0.000
F7 0.744 0.000 0.256
F8 0.772 0.251 0.006
F9 0.243 0.232 0.495
Li2 0.000 0.000 0.500
K2 0.749 0.002 0.749
F10 0.228 0.749 0.994
F11 0.757 0.732 0.005
Ag2 0.500 0.000 0.000
K3 0.749 0.498 0.249
F12 0.757 0.768 0.505
K4 0.251 0.998 0.251

# K2LiAgF6, relaxed, DFT PBE-GGA
# Distance to the lowest polymorph of the same formula: 10 meV/atom
data_K2LiAgF6
_symmetry_space_group_name_H-M 'P 1'
_symmetry_Int_Tables_number 1
_symmetry_space_group_name_Hall 'P 1'
_cell_length_a 5.687
_cell_length_b 5.687
_cell_length_c 5.687
_cell_angle_alpha 59.82
_cell_angle_beta 59.82
_cell_angle_gamma 59.82
loop_
_atom_site_label
_atom_site_fract_x
_atom_site_fract_y
_atom_site_fract_z
Ag1 0.000 0.000 0.000
K1 0.250 0.250 0.250
Li1 0.500 0.500 0.500
F1 0.742 0.258 0.260
F2 0.258 0.260 0.742
F3 0.260 0.742 0.258
K2 0.750 0.750 0.750
F4 0.740 0.258 0.742
F5 0.258 0.742 0.740
F6 0.742 0.740 0.258

# K2LiAgF6, relaxed, DFT PBE-GGA
# Distance to the lowest polymorph of the same formula: 2 meV/atom
data_K2LiAgF6
_symmetry_space_group_name_H-M 'P 1'
_symmetry_Int_Tables_number 1
_symmetry_space_group_name_Hall 'P 1'
_cell_length_a 5.703
_cell_length_b 5.703
_cell_length_c 5.703
_cell_angle_alpha 119.95
_cell_angle_beta 119.95
_cell_angle_gamma 60.07
loop_
_atom_site_label
_atom_site_fract_x
_atom_site_fract_y
_atom_site_fract_z
F1 0.258 0.258 0.258
Ag1 0.000 0.000 0.000
K1 0.750 0.750 0.250
F2 0.742 0.742 0.742
F3 0.743 0.258 0.743
F4 0.257 0.742 0.257
F5 0.258 0.743 0.743
K2 0.250 0.250 0.750
Li1 0.500 0.500 0.500
F6 0.742 0.257 0.257

# K2NaAgF6, relaxed, DFT PBE-GGA
# Distance to the lowest polymorph of the same formula: 0 meV/atom
data_K2NaAgF6
_symmetry_space_group_name_H-M 'P 1'
_symmetry_Int_Tables_number 1
_symmetry_space_group_name_Hall 'P 1'
_cell_length_a 6.056
_cell_length_b 6.056
_cell_length_c 6.056
_cell_angle_alpha 124.65
_cell_angle_beta 124.65
_cell_angle_gamma 82.12
loop_
_atom_site_label
_atom_site_fract_x
_atom_site_fract_y
_atom_site_fract_z
F1 0.691 0.164 0.856
K1 0.750 0.250 0.500
K2 0.250 0.750 0.500
F2 0.836 0.691 0.527
Na1 0.500 0.500 0.000
F3 0.309 0.836 0.144
F4 0.739 0.739 0.000
F5 0.261 0.261 0.000
Ag1 0.000 0.000 0.000
F6 0.164 0.309 0.473

# K2NaAgF6, relaxed, DFT PBE-GGA
# Distance to the lowest polymorph of the same formula: 46 meV/atom
data_K2NaAgF6
_symmetry_space_group_name_H-M 'P 1'
_symmetry_Int_Tables_number 1
_symmetry_space_group_name_Hall 'P 1'
_cell_length_a 5.838
_cell_length_b 5.838
_cell_length_c 5.838
_cell_angle_alpha 119.92
_cell_angle_beta 119.92
_cell_angle_gamma 60.09
loop_
_atom_site_label
_atom_site_fract_x
_atom_site_fract_y
_atom_site_fract_z
K1 0.750 0.750 0.250
F1 0.247 0.751 0.248
F2 0.752 0.752 0.752
F3 0.249 0.753 0.752
Na1 0.500 0.500 0.500
F4 0.751 0.247 0.248
F5 0.248 0.248 0.248
K2 0.250 0.250 0.750
Ag1 0.000 0.000 0.000
F6 0.753 0.249 0.752

# K2NaAgF6, relaxed, DFT PBE-GGA
# Distance to the lowest polymorph of the same formula: 12 meV/atom
data_K2NaAgF6
_symmetry_space_group_name_H-M 'P 1'
_symmetry_Int_Tables_number 1
_symmetry_space_group_name_Hall 'P 1'
_cell_length_a 5.901
_cell_length_b 5.937
_cell_length_c 10.160
_cell_angle_alpha 90.00
_cell_angle_beta 125.36
_cell_angle_gamma 90.00
loop_
_atom_site_label
_atom_site_fract_x
_atom_site_fract_y
_atom_site_fract_z
K1 0.258 0.035 0.251
F1 0.759 0.284 0.465
K2 0.742 0.965 0.749
F2 0.317 0.292 0.033
Ag1 0.000 0.000 0.500
F3 0.683 0.708 0.967
F4 0.178 0.014 0.744
Ag2 0.000 0.500 0.000
F5 0.241 0.784 0.035
K3 0.258 0.465 0.751
F6 0.822 0.986 0.256
F7 0.822 0.514 0.756
F8 0.178 0.486 0.244
F9 0.241 0.716 0.535
Na1 0.500 0.000 0.000
F10 0.683 0.792 0.467
F11 0.317 0.208 0.533
K4 0.742 0.535 0.249
F12 0.759 0.216 0.965
Na2 0.500 0.500 0.500

K2Ag2PbF8: relaxed, PBE-GGA.

The structure in CIF format:
```
data_K2Ag2PbF8
_symmetry_space_group_name_H-M 'P 1'
_symmetry_Int_Tables_number 1
_symmetry_space_group_name_Hall 'P 1'
_cell_length_a 8.225
_cell_length_b 8.225
_cell_length_c 8.225
_cell_angle_alpha 39.13
_cell_angle_beta 39.13
_cell_angle_gamma 39.13
loop_
_atom_site_label
_atom_site_fract_x
_atom_site_fract_y
_atom_site_fract_z
F1 0.755 0.755 0.192
F2 0.192 0.755 0.755
Ag1 0.613 0.613 0.613
Ag2 0.387 0.387 0.387
K1 0.807 0.807 0.807
F3 0.245 0.808 0.245
Pb1 0.000 0.000 0.000
F4 0.808 0.245 0.245
F5 0.245 0.245 0.808
F6 0.704 0.704 0.704
F7 0.296 0.296 0.296
K2 0.193 0.193 0.193
F8 0.755 0.192 0.755
```

# K2AgPtF6, relaxed, DFT PBE-GGA
# Spin magnetization: 0.8 μB/cell
data_K2AgPtF6
_symmetry_space_group_name_H-M 'P 1'
_symmetry_Int_Tables_number 1
_symmetry_space_group_name_Hall 'P 1'
_cell_length_a 6.030
_cell_length_b 6.030
_cell_length_c 6.030
_cell_angle_alpha 60.00
_cell_angle_beta 60.00
_cell_angle_gamma 60.00
loop_
_atom_site_label
_atom_site_fract_x
_atom_site_fract_y
_atom_site_fract_z
F1 0.241 0.759 0.241
F2 0.759 0.241 0.759
Ag1 0.500 0.500 0.500
F3 0.759 0.241 0.241
K1 0.250 0.250 0.250
F4 0.759 0.759 0.241
F5 0.241 0.241 0.759
K2 0.750 0.750 0.750
Pt1 0.000 0.000 0.000
F6 0.241 0.759 0.759

# K2TcAgF6, relaxed, DFT PBE-GGA
# Spin magnetization: 2.0 μB/cell
data_K2TcAgF6
_symmetry_space_group_name_H-M 'P 1'
_symmetry_Int_Tables_number 1
_symmetry_space_group_name_Hall 'P 1'
_cell_length_a 5.692
_cell_length_b 5.692
_cell_length_c 5.692
_cell_angle_alpha 65.41
_cell_angle_beta 65.41
_cell_angle_gamma 65.41
loop_
_atom_site_label
_atom_site_fract_x
_atom_site_fract_y
_atom_site_fract_z
F1 0.140 0.323 0.771
F2 0.771 0.140 0.323
F3 0.860 0.677 0.229
Tc1 0.000 0.000 0.000
F4 0.229 0.860 0.677
F5 0.677 0.229 0.860
Ag1 0.500 0.500 0.500
F6 0.323 0.771 0.140
K1 0.752 0.752 0.752
K2 0.248 0.248 0.248

# K2ZnAgF6, relaxed, DFT PBE-GGA
# Distance to the lowest polymorph of the same formula: 0 meV/atom
data_K2ZnAgF6
_symmetry_space_group_name_H-M 'P 1'
_symmetry_Int_Tables_number 1
_symmetry_space_group_name_Hall 'P 1'
_cell_length_a 5.871
_cell_length_b 5.871
_cell_length_c 5.871
_cell_angle_alpha 119.99
_cell_angle_beta 119.99
_cell_angle_gamma 90.01
loop_
_atom_site_label
_atom_site_fract_x
_atom_site_fract_y
_atom_site_fract_z
F1 0.763 0.763 0.526
F2 0.237 0.763 0.000
F3 0.763 0.237 0.000
Zn1 0.000 0.000 0.000
K1 0.750 0.250 0.500
F4 0.237 0.237 0.474
Ag1 0.500 0.500 0.000
K2 0.250 0.750 0.500
F5 0.763 0.763 0.000
F6 0.237 0.237 0.000

# K2ZnAgF6, relaxed, DFT PBE-GGA
# Distance to the lowest polymorph of the same formula: 15 meV/atom
data_K2ZnAgF6
_symmetry_space_group_name_H-M 'P 1'
_symmetry_Int_Tables_number 1
_symmetry_space_group_name_Hall 'P 1'
_cell_length_a 5.827
_cell_length_b 5.827
_cell_length_c 5.827
_cell_angle_alpha 119.91
_cell_angle_beta 119.91
_cell_angle_gamma 60.10
loop_
_atom_site_label
_atom_site_fract_x
_atom_site_fract_y
_atom_site_fract_z
F1 0.238 0.763 0.763
Ag1 0.500 0.500 0.500
K1 0.250 0.250 0.750
F2 0.762 0.237 0.237
F3 0.238 0.238 0.238
F4 0.763 0.238 0.763
Zn1 0.000 0.000 0.000
F5 0.762 0.762 0.762
F6 0.237 0.762 0.237
K2 0.750 0.750 0.250

# K2ZnAgF6, relaxed, DFT PBE-GGA
# Distance to the lowest polymorph of the same formula: 25 meV/atom
data_K2ZnAgF6
_symmetry_space_group_name_H-M 'P 1'
_symmetry_Int_Tables_number 1
_symmetry_space_group_name_Hall 'P 1'
_cell_length_a 5.817
_cell_length_b 5.817
_cell_length_c 5.817
_cell_angle_alpha 59.77
_cell_angle_beta 59.77
_cell_angle_gamma 59.77
loop_
_atom_site_label
_atom_site_fract_x
_atom_site_fract_y
_atom_site_fract_z
F1 0.738 0.261 0.263
K1 0.250 0.250 0.250
F2 0.262 0.739 0.737
F3 0.261 0.263 0.738
F4 0.263 0.738 0.261
Zn1 0.500 0.500 0.500
F5 0.737 0.262 0.739
F6 0.739 0.737 0.262
Ag1 0.000 0.000 0.000
K2 0.750 0.750 0.750

# K2ZnAgF6, relaxed, DFT PBE-GGA
# Distance to the lowest polymorph of the same formula: 0 meV/atom
data_K2ZnAgF6
_symmetry_space_group_name_H-M 'P 1'
_symmetry_Int_Tables_number 1
_symmetry_space_group_name_Hall 'P 1'
_cell_length_a 5.841
_cell_length_b 5.842
_cell_length_c 10.122
_cell_angle_alpha 90.00
_cell_angle_beta 125.16
_cell_angle_gamma 90.00
loop_
_atom_site_label
_atom_site_fract_x
_atom_site_fract_y
_atom_site_fract_z
F1 0.680 0.730 0.476
K1 0.747 0.520 0.750
Zn1 0.500 0.500 0.000
K2 0.253 0.480 0.250
K3 0.253 0.020 0.750
F2 0.784 0.504 0.237
F3 0.216 0.496 0.763
Ag1 0.000 0.500 0.500
Zn2 0.500 0.000 0.500
F4 0.320 0.230 0.024
F5 0.216 0.004 0.263
F6 0.680 0.770 0.976
F7 0.256 0.795 0.525
K4 0.747 0.980 0.250
F8 0.784 0.996 0.737
F9 0.256 0.705 0.025
F10 0.744 0.295 0.975
F11 0.744 0.205 0.475
F12 0.320 0.270 0.524
Ag2 0.000 0.000 0.000

LiAgF6: relaxed, PBE-GGA.

The structure in CIF format:
```
data_LiAgF6
_symmetry_space_group_name_H-M 'P 1'
_symmetry_Int_Tables_number 1
_symmetry_space_group_name_Hall 'P 1'
_cell_length_a 5.116
_cell_length_b 5.116
_cell_length_c 5.116
_cell_angle_alpha 54.43
_cell_angle_beta 54.43
_cell_angle_gamma 54.43
loop_
_atom_site_label
_atom_site_fract_x
_atom_site_fract_y
_atom_site_fract_z
F1 0.072 0.428 0.754
F2 0.572 0.246 0.928
F3 0.428 0.754 0.072
Ag1 0.000 0.000 0.000
F4 0.246 0.928 0.572
F5 0.928 0.572 0.246
Li1 0.500 0.500 0.500
F6 0.754 0.072 0.428
```

# Rb2LiAgF6, relaxed, DFT PBE-GGA
# Distance to the lowest polymorph of the same formula: 22 meV/atom
data_Rb2LiAgF6
_symmetry_space_group_name_H-M 'P 1'
_symmetry_Int_Tables_number 1
_symmetry_space_group_name_Hall 'P 1'
_cell_length_a 5.769
_cell_length_b 5.769
_cell_length_c 5.769
_cell_angle_alpha 119.94
_cell_angle_beta 119.94
_cell_angle_gamma 60.06
loop_
_atom_site_label
_atom_site_fract_x
_atom_site_fract_y
_atom_site_fract_z
F1 0.256 0.256 0.257
F2 0.257 0.744 0.744
F3 0.744 0.744 0.743
Rb1 0.250 0.250 0.750
Ag1 0.000 0.000 0.000
Li1 0.500 0.500 0.500
F4 0.256 0.743 0.256
F5 0.743 0.256 0.256
Rb2 0.750 0.750 0.250
F6 0.744 0.257 0.744

# Rb2LiAgF6, relaxed, DFT PBE-GGA
# Distance to the lowest polymorph of the same formula: 32 meV/atom
data_Rb2LiAgF6
_symmetry_space_group_name_H-M 'P 1'
_symmetry_Int_Tables_number 1
_symmetry_space_group_name_Hall 'P 1'
_cell_length_a 5.752
_cell_length_b 5.752
_cell_length_c 5.752
_cell_angle_alpha 59.86
_cell_angle_beta 59.86
_cell_angle_gamma 59.86
loop_
_atom_site_label
_atom_site_fract_x
_atom_site_fract_y
_atom_site_fract_z
F1 0.744 0.257 0.742
F2 0.742 0.744 0.257
Li1 0.500 0.500 0.500
F3 0.256 0.743 0.258
Rb1 0.250 0.250 0.250
Ag1 0.000 0.000 0.000
F4 0.743 0.258 0.256
F5 0.258 0.256 0.743
Rb2 0.750 0.750 0.750
F6 0.257 0.742 0.744

Number 1: mass density 3.8 g cm⁻³, energy -78.01 eV/cell. Number 2: mass density 3.9 g cm⁻³, energy -78.64 eV/cell. Number 3: mass density 3.9 g cm⁻³, energy -39.25 eV/cell. Number 4: mass density 3.9 g cm⁻³, energy -39.34 eV/cell. Number 5: mass density 3.9 g cm⁻³, energy -78.54 eV/cell. Number 6: mass density 3.9 g cm⁻³, energy -39.24 eV/cell. Number 7: mass density 3.9 g cm⁻³, energy -39.31 eV/cell. Number 8: mass density 3.7 g cm⁻³, energy -38.44 eV/cell. Number 9: mass density 3.8 g cm⁻³, energy -37.98 eV/cell. Number 10: mass density 3.7 g cm⁻³, energy -76.64 eV/cell. Number 11: mass density 5.4 g cm⁻³, energy -47.20 eV/cell. Number 12: mass density 5.3 g cm⁻³, energy -40.05 eV/cell. Number 13: mass density 4.5 g cm⁻³, energy -47.00 eV/cell. Number 14: mass density 4.2 g cm⁻³, energy -39.14 eV/cell. Number 15: mass density 4.3 g cm⁻³, energy -38.99 eV/cell. Number 16: mass density 4.4 g cm⁻³, energy -38.89 eV/cell. Number 17: mass density 4.3 g cm⁻³, energy -78.27 eV/cell. Number 18: mass density 4.6 g cm⁻³, energy -25.44 eV/cell. Number 19: mass density 4.9 g cm⁻³, energy -38.80 eV/cell. Number 20: mass density 4.9 g cm⁻³, energy -38.71 eV/cell.